Zn2Ag5Au: optimized geometry, PBE-GGA.

It has space group Pbam (No. 55), with a = 5.8193 Å, b = 11.6432 Å, c = 4.0327 Å, α = 90.00°, β = 90.00° and γ = 90.00°. The inequivalent atoms are Zn at (0.2370, 0.1222, 0.0000), Ag at (0.0000, 0.5000, 0.5000), Ag at (0.0157, 0.7488, 0.5000), Ag at (0.2387, 0.3727, 0.0000) and Au at (0.0000, 0.0000, 0.5000).

The total magnetization comes out at 0.00 μB/f.u. The calculated volume comes out at 17.08 Å³/atom. The value obtained for the total energy is -20.48 eV per formula unit.